This record from Alexandria via LeMat-Bulk describes Tc2Ir after structural relaxation. The functional is PBEsol.

The structure in extended XYZ format:
```
12
Lattice="9.856 0.000 0.000 0.000 2.717 0.000 -1.527 0.000 6.229" Properties=species:S:1:pos:R:3 pbc="T T T"
Tc 0.000 0.000 0.000
Tc -0.380 0.000 3.820
Tc 0.760 1.359 5.892
Tc 3.398 0.000 1.731
Tc 4.928 1.359 0.000
Tc 4.548 1.359 3.820
Tc 5.688 0.000 5.892
Tc 8.326 1.359 1.731
Ir 1.126 1.359 2.063
Ir 2.275 0.000 4.180
Ir 6.054 0.000 2.063
Ir 7.203 1.359 4.180
```

Results
spin magnetization = 0.00 μB/f.u.
relative energy among the computed polymorphs = 0.0059 eV/atom
energy of formation = -0.658 eV/f.u.